Entry 1:
The following is a DFT calculation (PBE-GGA) of a relaxed CeHo4Tm crystal.

a = 8.2795 Å, b = 8.2795 Å, c = 8.2795 Å
α = 133.13°, β = 92.78°, γ = 105.53°
Last column: nearest neighbours and their distance in Å.
Fractional positions:
Ce 0.0000 0.0000 0.0000  10 Ho 3.35-3.69
Ce 0.5000 0.0000 0.5000  10 Ho 3.35-3.69
Ho 0.1672 0.6653 0.5019  5 Ho 3.31-3.70, 3 Ce 3.35-3.69, 2 Tm 3.39
Ho 0.1680 0.1688 0.5008  5 Ho 3.28-3.42, 1 Tm 3.33, 2 Ce 3.40
Ho 0.1680 0.6672 0.9992  5 Ho 3.28-3.42, 1 Tm 3.33, 2 Ce 3.40
Ho 0.3366 0.3347 0.0019  5 Ho 3.31-3.70, 3 Ce 3.35-3.69, 2 Tm 3.39
Ho 0.6634 0.6653 0.9981  5 Ho 3.31-3.70, 3 Ce 3.35-3.69, 2 Tm 3.39
Ho 0.8320 0.3328 0.0008  5 Ho 3.28-3.42, 1 Tm 3.33, 2 Ce 3.40
Ho 0.8320 0.8312 0.4992  5 Ho 3.28-3.42, 1 Tm 3.33, 2 Ce 3.40
Ho 0.8328 0.3347 0.4981  5 Ho 3.31-3.70, 3 Ce 3.35-3.69, 2 Tm 3.39
Tm 0.5000 0.0000 0.0000  2 Tm 3.29, 6 Ho 3.33-3.39
Tm 0.5000 0.5000 0.5000  2 Tm 3.29, 6 Ho 3.33-3.39

Computed properties:
Symmetry: Imma, No. 74
Crystal system: orthorhombic
Energy above the lowest structure with this stoichiometry in meV/atom: 255.9
DOS at the Fermi energy in states/eV/cell: 28.881
Energy of formation in meV per atom: 280
M_tot in μB per formula unit: 1.588



Entry 2:
The following is a DFT calculation (PBE-GGA) of a relaxed NaSc2Ti2 crystal.

a = 8.5914 Å, b = 8.5914 Å, c = 3.1150 Å
α = 90.00°, β = 90.00°, γ = 90.00°
Last column: nearest neighbours and their distance in Å.
Fractional positions:
Na 0.0000 0.0000 0.0000  2 Na 3.12
Na 0.5000 0.5000 0.0000  2 Na 3.12
Sc 0.1876 0.3124 0.5000  6 Ti 3.00-3.02, 2 Sc 3.12
Sc 0.3124 0.8124 0.5000  6 Ti 3.00-3.02, 2 Sc 3.12
Sc 0.6876 0.1876 0.5000  6 Ti 3.00-3.02, 2 Sc 3.12
Sc 0.8124 0.6876 0.5000  6 Ti 3.00-3.02, 2 Sc 3.12
Ti 0.1015 0.6015 0.0000  1 Ti 2.47
Ti 0.3985 0.1015 0.0000  1 Ti 2.47
Ti 0.6015 0.8985 0.0000  1 Ti 2.47
Ti 0.8985 0.3985 0.0000  1 Ti 2.47

Computed properties:
Symmetry: P4/mbm, No. 127
Crystal system: tetragonal
DOS at the Fermi energy in states/eV/cell: 10.859
Energy of formation in meV per atom: 375
M_tot in μB per formula unit: 0.000



Entry 3:
The following is a DFT calculation (PBE-GGA) of a relaxed Tb4TlInC crystal.

a = 8.3539 Å, b = 8.3539 Å, c = 7.0578 Å
α = 90.00°, β = 90.00°, γ = 130.03°
Last column: nearest neighbours and their distance in Å.
Fractional positions:
Tb 0.0000 0.5000 0.0000  2 C 2.50
Tb 0.0000 0.5000 0.5000  2 C 2.50
Tb 0.0870 0.9130 0.7500  1 C 2.47
Tb 0.4122 0.5878 0.7500  1 C 2.46
Tb 0.5000 0.0000 0.0000  2 C 2.50
Tb 0.5000 0.0000 0.5000  2 C 2.50
Tb 0.5878 0.4122 0.2500  1 C 2.46
Tb 0.9130 0.0870 0.2500  1 C 2.47
Tl 0.1190 0.8810 0.2500  5 Tb 3.12-3.19
Tl 0.8810 0.1190 0.7500  5 Tb 3.12-3.19
In 0.3804 0.6196 0.2500  5 Tb 3.14-3.18
In 0.6196 0.3804 0.7500  5 Tb 3.14-3.18
C 0.2501 0.7499 0.7500  6 Tb 2.46-2.50
C 0.7499 0.2501 0.2500  6 Tb 2.46-2.50

Computed properties:
Symmetry: Cmcm, No. 63
Crystal system: orthorhombic
DOS at the Fermi energy in states/eV/cell: 2.852
Energy of formation in meV per atom: -346
M_tot in μB per formula unit: 0.000



Entry 4:
The following is a DFT calculation (PBE-GGA) of a relaxed CsSbF3 crystal.

a = 7.0769 Å, b = 6.1581 Å, c = 10.9580 Å
α = 90.00°, β = 97.03°, γ = 90.00°
Last column: nearest neighbours and their distance in Å.
Fractional positions:
Cs 0.0231 0.2464 0.3613  5 F 2.94-3.29
Cs 0.0231 0.2536 0.8613  5 F 2.94-3.29
Cs 0.9769 0.7464 0.1387  5 F 2.94-3.29
Cs 0.9769 0.7536 0.6387  5 F 2.94-3.29
Sb 0.4901 0.7045 0.4205  3 F 1.99-2.15
Sb 0.4901 0.7955 0.9205  3 F 1.99-2.15
Sb 0.5099 0.2045 0.0795  3 F 1.99-2.15
Sb 0.5099 0.2955 0.5795  3 F 1.99-2.15
F 0.1898 0.7468 0.9229  1 Sb 2.15
F 0.1898 0.7532 0.4229  1 Sb 2.15
F 0.2418 0.1129 0.1294  1 Sb 2.11
F 0.2418 0.3871 0.6294  1 Sb 2.11
F 0.3861 0.5442 0.2692  1 Sb 1.99
F 0.3861 0.9558 0.7692  1 Sb 1.99
F 0.6139 0.0442 0.2308  1 Sb 1.99
F 0.6139 0.4558 0.7308  1 Sb 1.99
F 0.7582 0.6129 0.3706  1 Sb 2.11
F 0.7582 0.8871 0.8706  1 Sb 2.11
F 0.8102 0.2468 0.5771  1 Sb 2.15
F 0.8102 0.2532 0.0771  1 Sb 2.15

Computed properties:
Uncorrected formation energy in eV per atom: -2.310
Symmetry: P2_1/c, No. 14
Crystal system: monoclinic
Energy above the lowest structure with this stoichiometry in meV/atom: 0.0
M_tot in μB per formula unit: 0.000



Entry 5:
The following is a DFT calculation (PBE-GGA) of a relaxed PaNbTe crystal.

a = 4.8424 Å, b = 4.8424 Å, c = 3.4676 Å
α = 90.00°, β = 90.00°, γ = 120.00°
Last column: nearest neighbours and their distance in Å.
Fractional positions:
Pa 0.0000 0.0000 0.0000  6 Nb 3.29, 6 Te 3.29, 2 Pa 3.47
Nb 0.3333 0.6667 0.5000  3 Te 2.80
Te 0.6667 0.3333 0.5000  3 Nb 2.80

Computed properties:
Uncorrected formation energy in eV per atom: -0.112
Symmetry: P-6m2, No. 187
Crystal system: hexagonal
Energy above the lowest structure with this stoichiometry in meV/atom: 225.6
DOS at the Fermi energy in states/eV/cell: 4.807
M_tot in μB per formula unit: 0.003



Entry 6:
The following is a DFT calculation (PBE-GGA) of a relaxed LaMg2Re crystal.

a = 2.9215 Å, b = 2.9215 Å, c = 10.7167 Å
α = 90.00°, β = 90.00°, γ = 112.39°
Last column: nearest neighbours and their distance in Å.
Fractional positions:
La 0.0000 0.0000 0.0000  6 La 2.92-3.25
Mg 0.5000 0.5000 0.2907  2 Re 2.77, 4 Mg 2.92
Mg 0.5000 0.5000 0.7093  2 Re 2.77, 4 Mg 2.92
Re 0.0000 0.0000 0.5000  4 Mg 2.77, 4 Re 2.92

Computed properties:
Symmetry: Cmmm, No. 65
Crystal system: orthorhombic
Energy above the lowest structure with this stoichiometry in meV/atom: 98.0
DOS at the Fermi energy in states/eV/cell: 2.916
Energy of formation in meV per atom: 399
M_tot in μB per formula unit: 0.000